(1)
PBE CePm5Sn5, optimized geometry; spin magnetization = 1.1 Bohr magnetons per cell; electronic total energy = -0.183 Ha/atom; formation enthalpy at 0 K = -0.46 eV/atom; N(E_F) = 1.183 states/eV per atom
1.0
6.3221 0.0000 0.0000
-3.1611 7.1749 -0.0010
0.0000 -2.6839 8.3609
Ce Pm Sn
1 5 5
direct
0.0000 0.0000 0.0000 Ce
0.6694 0.3389 0.3333 Pm
0.6692 0.3385 0.8361 Pm
0.0000 0.0000 0.5000 Pm
0.3308 0.6615 0.1639 Pm
0.3306 0.6611 0.6667 Pm
0.8379 0.6758 0.1700 Sn
0.8363 0.6725 0.6673 Sn
0.5000 0.0000 0.0000 Sn
0.1637 0.3275 0.3327 Sn
0.1621 0.3242 0.8300 Sn

---

(2)
PBE Ce2PmSn, optimized geometry; spin magnetization = 1.8 Bohr magnetons per cell; electronic total energy = -0.204 Ha/atom; formation enthalpy at 0 K = -0.40 eV/atom; N(E_F) = 2.573 states/eV per atom
1.0
5.0596 0.0000 0.0000
0.0000 4.7159 0.0000
0.0000 0.0000 4.7159
Sn Ce Pm
1 2 1
direct
0.5000 0.0000 0.0000 Sn
0.0000 0.0000 0.5000 Ce
0.0000 0.5000 0.0000 Ce
0.5000 0.5000 0.5000 Pm

---

(3)
PBE Ce2Pm2Sn3, optimized geometry; spin magnetization = 2.3 Bohr magnetons per cell; electronic total energy = -0.194 Ha/atom; formation enthalpy at 0 K = -0.50 eV/atom; N(E_F) = 1.552 states/eV per atom
1.0
4.4788 0.0000 0.0000
0.0000 5.9299 1.4209
-2.2394 -0.4214 8.1127
Ce Pm Sn
2 2 3
direct
0.0849 0.4562 0.1699 Ce
0.9151 0.5438 0.8301 Ce
0.3551 0.0872 0.7102 Pm
0.6449 0.9128 0.2898 Pm
0.0000 0.0000 0.0000 Sn
0.2719 0.6553 0.5438 Sn
0.7281 0.3447 0.4562 Sn

---

(4)
PBE Ce3PmSn4, optimized geometry; spin magnetization = 2.5 Bohr magnetons per cell; electronic total energy = -0.194 Ha/atom; formation enthalpy at 0 K = -0.46 eV/atom; N(E_F) = 2.589 states/eV per atom
1.0
-1.2278 2.3638 2.4632
-0.0960 -5.3694 5.1050
9.1954 3.5377 -1.4833
Ce Pm Sn
3 1 4
direct
0.2882 0.7882 0.5763 Ce
0.7118 0.2118 0.4237 Ce
0.5000 0.5000 0.0000 Ce
0.0000 0.0000 0.0000 Pm
0.8714 0.1646 0.7428 Sn
0.1286 0.8354 0.2572 Sn
0.8714 0.5783 0.7428 Sn
0.1286 0.4217 0.2572 Sn

---

(5)
PBE CePm7Sn5, optimized geometry; spin magnetization = 1.5 Bohr magnetons per cell; electronic total energy = -0.184 Ha/atom; formation enthalpy at 0 K = -0.45 eV/atom; N(E_F) = 1.538 states/eV per atom
1.0
6.5624 0.0000 0.0000
3.2812 7.8141 -0.0973
3.2812 -0.1226 7.8137
Ce Pm Sn
1 7 5
direct
0.9234 0.0766 0.0766 Ce
0.6127 0.3873 0.3873 Pm
0.2696 0.7304 0.7304 Pm
0.0133 0.3171 0.6562 Pm
0.0133 0.6562 0.3171 Pm
0.2674 0.2326 0.2326 Pm
0.5256 0.8080 0.1408 Pm
0.5256 0.1408 0.8080 Pm
0.5301 0.9947 0.4660 Sn
0.0092 0.9947 0.4660 Sn
0.5301 0.4660 0.9947 Sn
0.0092 0.4660 0.9947 Sn
0.7703 0.7297 0.7297 Sn

---

(6)
PBE CePm5Sn3, optimized geometry; spin magnetization = 6.5 Bohr magnetons per cell; electronic total energy = -0.191 Ha/atom; formation enthalpy at 0 K = -0.57 eV/atom; N(E_F) = 1.390 states/eV per atom
1.0
-0.6653 6.2976 2.1166
-8.9475 0.2124 -3.4442
1.6021 -2.8598 9.0125
Ce Pm Sn
2 10 6
direct
0.0000 0.0000 0.0000 Ce
0.5000 0.0000 0.0000 Ce
0.0000 0.6667 0.3333 Pm
0.5000 0.3333 0.6667 Pm
0.0000 0.3333 0.6667 Pm
0.5000 0.6667 0.3333 Pm
0.7500 0.6716 0.6716 Pm
0.7500 0.0000 0.3284 Pm
0.7500 0.3284 0.0000 Pm
0.2500 0.3284 0.3284 Pm
0.2500 0.0000 0.6716 Pm
0.2500 0.6716 0.0000 Pm
0.7500 0.3369 0.3369 Sn
0.7500 0.0000 0.6631 Sn
0.7500 0.6631 0.0000 Sn
0.2500 0.6631 0.6631 Sn
0.2500 0.0000 0.3369 Sn
0.2500 0.3369 0.0000 Sn

---

(7)
PBE CePm4Sn15, optimized geometry; spin magnetization = 0.7 Bohr magnetons per cell; electronic total energy = -0.174 Ha/atom; formation enthalpy at 0 K = -0.49 eV/atom; N(E_F) = 0.730 states/eV per atom
1.0
4.7283 0.0000 0.0000
0.0000 4.7283 0.0000
0.0000 0.0000 24.0517
Ce Pm Sn
1 4 15
direct
0.0000 0.0000 0.0000 Ce
0.0000 0.0000 0.1967 Pm
0.0000 0.0000 0.3995 Pm
0.0000 0.0000 0.6005 Pm
0.0000 0.0000 0.8033 Pm
0.5000 0.5000 0.0000 Sn
0.5000 0.5000 0.1990 Sn
0.5000 0.5000 0.3991 Sn
0.5000 0.5000 0.6009 Sn
0.5000 0.5000 0.8010 Sn
0.5000 0.0000 0.0982 Sn
0.5000 0.0000 0.2988 Sn
0.5000 0.0000 0.5000 Sn
0.5000 0.0000 0.7012 Sn
0.5000 0.0000 0.9018 Sn
0.0000 0.5000 0.0982 Sn
0.0000 0.5000 0.2988 Sn
0.0000 0.5000 0.5000 Sn
0.0000 0.5000 0.7012 Sn
0.0000 0.5000 0.9018 Sn

---

(8)
PBE Ce2Pm2Sn5, optimized geometry; spin magnetization = 2.6 Bohr magnetons per cell; electronic total energy = -0.188 Ha/atom; formation enthalpy at 0 K = -0.51 eV/atom; N(E_F) = 1.468 states/eV per atom
1.0
-4.3534 -0.3654 7.2099
7.1869 -0.3776 4.3204
-3.4705 7.7777 -1.7013
Ce Pm Sn
4 4 10
direct
0.0000 0.2048 0.4096 Ce
0.5000 0.7048 0.4096 Ce
0.0000 0.7952 0.5904 Ce
0.5000 0.2952 0.5904 Ce
0.6434 0.8566 0.0000 Pm
0.3566 0.1434 0.0000 Pm
0.1434 0.6434 0.0000 Pm
0.8566 0.3566 0.0000 Pm
0.0000 0.0000 0.0000 Sn
0.5000 0.5000 0.0000 Sn
0.8307 0.8088 0.2788 Sn
0.1693 0.4700 0.2788 Sn
0.3307 0.9700 0.2788 Sn
0.6693 0.3088 0.2788 Sn
0.1693 0.1912 0.7212 Sn
0.8307 0.5300 0.7212 Sn
0.6693 0.0300 0.7212 Sn
0.3307 0.6912 0.7212 Sn

---

(9)
PBE Ce2Pm12Sn5, optimized geometry; spin magnetization = 1.9 Bohr magnetons per cell; electronic total energy = -0.180 Ha/atom; formation enthalpy at 0 K = -0.21 eV/atom; N(E_F) = 1.521 states/eV per atom
1.0
7.6417 0.0000 0.0000
-3.8209 8.3826 1.0027
0.0000 -1.9686 9.8225
Ce Pm Sn
2 12 5
direct
0.6744 0.0000 0.0000 Ce
0.3256 0.0000 0.0000 Ce
0.9704 0.9408 0.1858 Pm
0.0667 0.6448 0.8729 Pm
0.5781 0.6448 0.8729 Pm
0.1118 0.7115 0.4093 Pm
0.5998 0.7115 0.4093 Pm
0.4758 0.9516 0.6883 Pm
0.5242 0.0484 0.3117 Pm
0.8882 0.2885 0.5907 Pm
0.4002 0.2885 0.5907 Pm
0.9333 0.3552 0.1271 Pm
0.4219 0.3552 0.1271 Pm
0.0296 0.0592 0.8142 Pm
0.2883 0.5766 0.6261 Sn
0.3436 0.6872 0.1427 Sn
0.0000 0.0000 0.5000 Sn
0.6564 0.3128 0.8573 Sn
0.7117 0.4234 0.3739 Sn

---

(10)
PBE Ce2Pm3Sn4, optimized geometry; spin magnetization = 4.0 Bohr magnetons per cell; electronic total energy = -0.197 Ha/atom; formation enthalpy at 0 K = -0.69 eV/atom; N(E_F) = 2.108 states/eV per atom
1.0
8.1745 -0.1732 0.0000
-2.8575 8.0314 0.0000
0.0000 0.0000 8.4970
Ce Pm Sn
4 6 8
direct
0.5626 0.1926 0.3183 Ce
0.9374 0.8074 0.8183 Ce
0.4374 0.8074 0.6817 Ce
0.0626 0.1926 0.1817 Ce
0.0000 0.5000 0.5000 Pm
0.5000 0.5000 0.0000 Pm
0.7350 0.2438 0.8308 Pm
0.7650 0.7562 0.3308 Pm
0.2650 0.7562 0.1692 Pm
0.2350 0.2438 0.6692 Pm
0.8323 0.0825 0.5341 Sn
0.6677 0.9175 0.0341 Sn
0.1677 0.9175 0.4659 Sn
0.3323 0.0825 0.9659 Sn
0.8676 0.4853 0.1333 Sn
0.6324 0.5147 0.6333 Sn
0.1324 0.5147 0.8667 Sn
0.3676 0.4853 0.3667 Sn

---

(11)
PBE CePm5Sn6, optimized geometry; spin magnetization = 1.0 Bohr magnetons per cell; electronic total energy = -0.187 Ha/atom; formation enthalpy at 0 K = -0.62 eV/atom; N(E_F) = 1.109 states/eV per atom
1.0
-3.4961 -2.3801 -4.6177
2.4062 -7.0032 -4.0696
-2.7503 -7.9238 3.2377
Ce Pm Sn
1 5 6
direct
0.0000 0.0000 0.0000 Ce
0.5000 0.1830 0.6339 Pm
0.0000 0.3575 0.2850 Pm
0.5000 0.5000 0.0000 Pm
0.0000 0.6425 0.7150 Pm
0.5000 0.8170 0.3661 Pm
0.8050 0.0466 0.3445 Sn
0.1950 0.6088 0.3445 Sn
0.3294 0.2056 0.0000 Sn
0.6706 0.7944 0.0000 Sn
0.8050 0.3912 0.6555 Sn
0.1950 0.9534 0.6555 Sn

---

(12)
PBE Ce5PmSn6, optimized geometry; spin magnetization = 5.1 Bohr magnetons per cell; electronic total energy = -0.201 Ha/atom; formation enthalpy at 0 K = -0.60 eV/atom; N(E_F) = 2.756 states/eV per atom
1.0
4.7047 -0.0278 1.5679
0.0479 9.0061 0.0160
0.0012 -0.0139 7.8390
Sn Ce Pm
6 5 1
direct
0.8339 0.7498 0.3321 Sn
0.8339 0.2502 0.3321 Sn
0.5000 0.2491 0.0000 Sn
0.5000 0.7509 0.0000 Sn
0.1661 0.7498 0.6679 Sn
0.1661 0.2502 0.6679 Sn
0.6667 0.5000 0.6666 Ce
0.3319 0.0000 0.3361 Ce
0.0000 0.5000 0.0000 Ce
0.6681 0.0000 0.6639 Ce
0.3333 0.5000 0.3334 Ce
0.0000 0.0000 0.0000 Pm

---

(13)
PBE CePm5Sn4, optimized geometry; spin magnetization = 1.4 Bohr magnetons per cell; electronic total energy = -0.187 Ha/atom; formation enthalpy at 0 K = -0.53 eV/atom; N(E_F) = 1.247 states/eV per atom
1.0
-0.4159 -4.2162 3.4659
6.5154 1.6303 2.7650
-9.8956 5.3836 1.0393
Ce Pm Sn
1 5 4
direct
0.5000 0.0000 0.0000 Ce
0.8340 0.6744 0.6679 Pm
0.8339 0.1583 0.6678 Pm
0.1661 0.8417 0.3322 Pm
0.5000 0.5000 0.0000 Pm
0.1660 0.3256 0.3321 Pm
0.3239 0.8983 0.6479 Sn
0.9917 0.7313 0.9833 Sn
0.6761 0.1017 0.3521 Sn
0.0083 0.2687 0.0167 Sn

---

(14)
PBE Ce2PmSn, optimized geometry; spin magnetization = 2.3 Bohr magnetons per cell; electronic total energy = -0.195 Ha/atom; formation enthalpy at 0 K = -0.16 eV/atom; N(E_F) = 3.279 states/eV per atom
1.0
-2.8491 4.4058 1.6017
-5.4716 -0.2375 0.3147
-2.4699 0.0374 4.8981
Sn Ce Pm
1 2 1
direct
0.0000 0.0000 0.0000 Sn
0.2500 0.2500 0.2500 Ce
0.7500 0.7500 0.7500 Ce
0.5000 0.5000 0.5000 Pm

---

(15)
PBE CePm6Sn12, optimized geometry; spin magnetization = 1.0 Bohr magnetons per cell; electronic total energy = -0.172 Ha/atom; formation enthalpy at 0 K = -0.34 eV/atom; N(E_F) = 0.992 states/eV per atom
1.0
8.4199 1.0334 1.2380
-0.2551 8.4793 1.2380
-0.2551 -0.2972 8.5640
Ce Pm Sn
1 6 12
direct
0.0000 0.0000 0.0000 Ce
0.7263 0.8659 0.3905 Pm
0.6095 0.2737 0.1341 Pm
0.1341 0.6095 0.2737 Pm
0.2737 0.1341 0.6095 Pm
0.3905 0.7263 0.8659 Pm
0.8659 0.3905 0.7263 Pm
0.7879 0.4933 0.3558 Sn
0.3558 0.7879 0.4933 Sn
0.4933 0.3558 0.7879 Sn
0.2121 0.5067 0.6442 Sn
0.6442 0.2121 0.5067 Sn
0.5067 0.6442 0.2121 Sn
0.0933 0.9953 0.3456 Sn
0.0047 0.6544 0.9067 Sn
0.6544 0.9067 0.0047 Sn
0.9067 0.0047 0.6544 Sn
0.9953 0.3456 0.0933 Sn
0.3456 0.0933 0.9953 Sn

---

(16)
PBE CePm2Sn6, optimized geometry; spin magnetization = 1.1 Bohr magnetons per cell; electronic total energy = -0.178 Ha/atom; formation enthalpy at 0 K = -0.46 eV/atom; N(E_F) = 1.154 states/eV per atom
1.0
-2.7327 -0.5188 -3.5349
-8.7498 0.2330 3.8764
-6.8867 6.4732 1.5203
Ce Pm Sn
1 2 6
direct
0.0580 0.9414 0.9414 Ce
0.1079 0.3922 0.3922 Pm
0.8792 0.6210 0.6210 Pm
0.3016 0.9866 0.4102 Sn
0.6886 0.0279 0.5952 Sn
0.6886 0.5952 0.0279 Sn
0.4872 0.2933 0.7322 Sn
0.4872 0.7322 0.2933 Sn
0.3016 0.4102 0.9866 Sn

---

(17)
PBE CePm7Sn4, optimized geometry; spin magnetization = 1.9 Bohr magnetons per cell; electronic total energy = -0.180 Ha/atom; formation enthalpy at 0 K = -0.29 eV/atom; N(E_F) = 1.251 states/eV per atom
1.0
-5.4599 1.0640 0.3113
-3.3702 -4.9144 7.5407
-1.3668 6.0973 5.0415
Ce Pm Sn
1 7 4
direct
0.0000 0.0000 0.0000 Ce
0.7861 0.8697 0.5581 Pm
0.2139 0.1303 0.4419 Pm
0.0782 0.6606 0.1829 Pm
0.9218 0.3394 0.8171 Pm
0.3491 0.5807 0.7211 Pm
0.5000 0.0000 0.0000 Pm
0.6509 0.4193 0.2789 Pm
0.5741 0.2194 0.6324 Sn
0.4259 0.7806 0.3676 Sn
0.7045 0.6671 0.9239 Sn
0.2955 0.3329 0.0761 Sn

---

(18)
PBE Ce2Pm3Sn4, optimized geometry; spin magnetization = 4.0 Bohr magnetons per cell; electronic total energy = -0.191 Ha/atom; formation enthalpy at 0 K = -0.51 eV/atom; N(E_F) = 2.109 states/eV per atom
1.0
-4.7457 -1.1685 5.2879
-6.4157 -2.0097 -6.2019
4.7216 -7.7415 -2.3757
Ce Pm Sn
4 6 8
direct
0.1109 0.5889 0.2217 Ce
0.8891 0.4111 0.7783 Ce
0.3891 0.0889 0.7783 Ce
0.6109 0.9111 0.2217 Ce
0.0000 0.0000 0.0000 Pm
0.5000 0.5000 0.0000 Pm
0.5447 0.7500 0.5894 Pm
0.9553 0.2500 0.4106 Pm
0.4553 0.2500 0.4106 Pm
0.0447 0.7500 0.5894 Pm
0.7236 0.7500 0.9473 Sn
0.7764 0.2500 0.0527 Sn
0.2764 0.2500 0.0527 Sn
0.2236 0.7500 0.9473 Sn
0.1851 0.9431 0.3702 Sn
0.8149 0.0569 0.6298 Sn
0.3149 0.4431 0.6298 Sn
0.6851 0.5569 0.3702 Sn

---

(19)
PBE Ce3Pm4Sn4, optimized geometry; spin magnetization = 3.2 Bohr magnetons per cell; electronic total energy = -0.193 Ha/atom; formation enthalpy at 0 K = -0.45 eV/atom; N(E_F) = 2.063 states/eV per atom
1.0
-4.2929 -1.4083 2.0575
2.3535 -4.1741 -3.9359
6.0193 -5.1346 9.0446
Ce Pm Sn
3 4 4
direct
0.3681 0.7362 0.3528 Ce
0.3681 0.7362 0.6472 Ce
0.2704 0.5407 0.0000 Ce
0.6728 0.3456 0.5000 Pm
0.5880 0.1760 0.0000 Pm
0.0619 0.1239 0.7553 Pm
0.0619 0.1239 0.2447 Pm
0.7459 0.4917 0.7806 Sn
0.7459 0.4917 0.2194 Sn
0.9821 0.9641 0.5000 Sn
0.9335 0.8669 0.0000 Sn

---

(20)
PBE Ce2Pm3Sn6, optimized geometry; spin magnetization = 0.5 Bohr magnetons per cell; electronic total energy = -0.177 Ha/atom; formation enthalpy at 0 K = -0.27 eV/atom; N(E_F) = 1.265 states/eV per atom
1.0
-4.1848 0.8355 1.5487
-1.6105 -0.2083 -4.2394
0.4494 -15.7018 3.0313
Ce Pm Sn
2 3 6
direct
0.4584 0.4584 0.9168 Ce
0.5416 0.5416 0.0832 Ce
0.0000 0.0000 0.0000 Pm
0.8009 0.8009 0.6017 Pm
0.1991 0.1991 0.3983 Pm
0.1169 0.6169 0.2338 Sn
0.6169 0.1169 0.2338 Sn
0.8831 0.3831 0.7662 Sn
0.3831 0.8831 0.7662 Sn
0.7000 0.7000 0.4000 Sn
0.3000 0.3000 0.6000 Sn